Density functional theory data (PBE-GGA) for TbCe2Er3As6 after structural relaxation.

## Properties
Fermi-level density of states, states/eV per cell: 23.29
Energy relative to the elements, meV/atom: -1492
Final energy, eV per atom: -6.332

Cell lengths 18.005, 4.140, 8.268 Å; angles 90.00, 103.14, 90.00 degrees
Space group C2/m (No. 12)
Symmetry-distinct sites (fractional):
Tb  0.000  0.000  0.000
Ce  0.166  0.500  0.332
Er  0.000  0.000  0.500
Er  0.166  0.500  0.834
As  0.001  0.500  0.748
As  0.165  0.000  0.587
As  0.167  0.000  0.079